1.
Co2Se after structural relaxation. Source: the Alexandria database, functional PBE.

a b c (Å): 9.306 9.306 9.306
angles (deg): 161.49 161.49 26.30
Sites, in units of the cell vectors:
Co (0.302, 0.552, 0.750)
Co (0.448, 0.698, 0.750)
Co (0.552, 0.302, 0.250)
Co (0.698, 0.448, 0.250)
Se (0.125, 0.875, 0.250)
Se (0.875, 0.125, 0.750)

Output
Space-group type: I4_1/amd (141)
ΔE_f (raw) in meV/atom: 412
Volume in Å³/cell: 81.2
Energy above the lowest structure with this stoichiometry in eV per atom: 0.543

2.
Na2SbPbAu after structural relaxation. Source: the Alexandria database, functional PBE.

a b c (Å): 5.698 5.698 5.246
angles (deg): 90.00 90.00 90.00
Sites, in units of the cell vectors:
Na (0.000, 0.500, 0.000)
Na (0.500, 0.000, 0.000)
Sb (0.000, 0.000, 0.000)
Pb (0.500, 0.500, 0.500)
Au (0.000, 0.000, 0.500)

Output
Space-group type: P4/mmm (123)
ΔE_f (raw) in meV/atom: 157
Volume in Å³/cell: 170.3

3.
ZrTa2Cl after structural relaxation. Source: the Alexandria database, functional PBE.

a b c (Å): 11.019 11.019 11.019
angles (deg): 159.77 159.77 28.77
Sites, in units of the cell vectors:
Zr (0.000, 0.000, 0.000)
Zr (0.750, 0.250, 0.500)
Ta (0.118, 0.625, 0.993)
Ta (0.375, 0.368, 0.493)
Ta (0.632, 0.125, 0.007)
Ta (0.875, 0.882, 0.507)
Cl (0.250, 0.750, 0.500)
Cl (0.500, 0.500, 0.000)

Output
Space-group type: I-42d (122)
ΔE_f (raw) in meV/atom: 487
Volume in Å³/cell: 160.0
Energy above the lowest structure with this stoichiometry in eV per atom: 0.687

4.
AcPrAl2 after structural relaxation. Source: the Alexandria database, functional PBE.

a b c (Å): 9.831 9.831 9.831
angles (deg): 22.94 22.94 22.94
Sites, in units of the cell vectors:
Ac (0.000, 0.000, 0.000)
Pr (0.500, 0.500, 0.500)
Al (0.246, 0.246, 0.246)
Al (0.754, 0.754, 0.754)

Output
Space-group type: R-3m (166)
E_form in eV/atom: -0.017
Volume in Å³/cell: 126.7

5.
CaPm4Tm2 after structural relaxation. Source: the Alexandria database, functional PBE.

a b c (Å): 21.031 21.031 21.031
angles (deg): 9.86 9.86 9.86
Sites, in units of the cell vectors:
Ca (0.000, 0.000, 0.000)
Pm (0.143, 0.143, 0.143)
Pm (0.282, 0.282, 0.282)
Pm (0.718, 0.718, 0.718)
Pm (0.857, 0.857, 0.857)
Tm (0.430, 0.430, 0.430)
Tm (0.570, 0.570, 0.570)

Output
Space-group type: R-3m (166)
E_form in eV/atom: 0.032
Volume in Å³/cell: 236.7

6.
BeFe2Br after structural relaxation. Source: the Alexandria database, functional PBE.

a b c (Å): 4.749 4.749 4.749
angles (deg): 135.33 135.33 65.02
Sites, in units of the cell vectors:
Be (0.000, 0.000, 0.000)
Fe (0.500, 0.500, 0.000)
Fe (0.750, 0.250, 0.500)
Br (0.250, 0.750, 0.500)

Output
Space-group type: I-4m2 (119)
ΔE_f (raw) in meV/atom: 747
Volume in Å³/cell: 52.2
Energy above the lowest structure with this stoichiometry in eV per atom: 0.486

7.
PmSmInSn after structural relaxation. Source: the Alexandria database, functional PBE.

a b c (Å): 4.391 6.295 6.295
angles (deg): 43.39 90.00 90.00
Sites, in units of the cell vectors:
Pm (0.000, 0.000, 0.000)
Sm (0.500, 0.725, 0.725)
In (0.500, 0.449, 0.449)
Sn (0.000, 0.278, 0.278)

Output
Space-group type: Amm2 (38)
E_form in eV/atom: -0.640
Volume in Å³/cell: 119.5
Energy above the lowest structure with this stoichiometry in eV per atom: 0.000

8.
As2Ru2W after structural relaxation. Source: the Alexandria database, functional PBE.

a b c (Å): 7.192 7.192 2.886
angles (deg): 90.00 90.00 90.00
Sites, in units of the cell vectors:
As (0.154, 0.346, 0.000)
As (0.346, 0.846, 0.000)
As (0.654, 0.154, 0.000)
As (0.846, 0.654, 0.000)
Ru (0.150, 0.650, 0.500)
Ru (0.350, 0.150, 0.500)
Ru (0.650, 0.850, 0.500)
Ru (0.850, 0.350, 0.500)
W (0.000, 0.000, 0.000)
W (0.500, 0.500, 0.000)

Output
Space-group type: P4/mbm (127)
E_form in eV/atom: 0.203
Volume in Å³/cell: 149.3

9.
K3SnBi2Te6 after structural relaxation. Source: the Alexandria database, functional PBE.

a b c (Å): 7.868 7.868 8.768
angles (deg): 98.60 98.60 120.01
Sites, in units of the cell vectors:
K (0.000, 0.000, 0.000)
K (0.332, 0.668, 0.000)
K (0.668, 0.332, 0.000)
Sn (0.500, 0.500, 0.500)
Bi (0.166, 0.834, 0.500)
Bi (0.834, 0.166, 0.500)
Te (0.102, 0.430, 0.290)
Te (0.242, 0.242, 0.711)
Te (0.430, 0.102, 0.290)
Te (0.570, 0.898, 0.710)
Te (0.758, 0.758, 0.289)
Te (0.898, 0.570, 0.710)

Output
Space-group type: C2/m (12)
ΔE_f (raw) in meV/atom: -589
Volume in Å³/cell: 448.5

10.
BeZnOs2 after structural relaxation. Source: the Alexandria database, functional PBE.

a b c (Å): 2.713 3.980 4.953
angles (deg): 90.00 99.49 90.00
Sites, in units of the cell vectors:
Be (0.000, 0.000, 0.000)
Zn (0.500, 0.000, 0.500)
Os (0.196, 0.500, 0.771)
Os (0.804, 0.500, 0.229)

Output
Space-group type: P2/m (10)
E_form in eV/atom: 0.228
Volume in Å³/cell: 52.8

| no. | electronic total energy (eV per atom) |
| --- | --- |
| 1 | -5.49 |
| 2 | -2.59 |
| 3 | -8.04 |
| 4 | -4.11 |
| 5 | -4.25 |
| 6 | -4.83 |
| 7 | -4.69 |
| 8 | -7.96 |
| 9 | -3.41 |
| 10 | -6.64 |